[1]
VASP calculation (PBE-GGA) on CdInSe2 after structural relaxation.

Calculated values
Uncorrected formation energy = -0.449 eV/atom
SG = I-42d (122)
M_tot = 0.00 μB/cell

Lattice parameters (Å, degrees): 6.340 6.340 7.867 66.24 66.24 90.00
Fractional coordinates of all 8 atoms:
In (0.000, 0.000, 0.000)
In (0.750, 0.250, 0.500)
Se (0.875, 0.865, 0.750)
Se (0.615, 0.125, 0.250)
Cd (0.250, 0.750, 0.500)
Cd (0.500, 0.500, 0.000)
Se (0.135, 0.625, 0.250)
Se (0.375, 0.385, 0.750)

---

[2]
VASP calculation (PBE-GGA) on CdInSe2 after structural relaxation.

Calculated values
Uncorrected formation energy = -0.254 eV/atom
SG = Immm (71)
M_tot = 0.00 μB/cell

Lattice parameters (Å, degrees): 5.812 5.812 5.812 140.12 96.69 96.66
Fractional coordinates of all 4 atoms:
Cd (0.750, 0.250, 0.500)
Se (0.506, 0.506, 0.000)
Se (0.994, 0.994, 0.000)
In (0.250, 0.750, 0.500)

---

[3]
VASP calculation (PBE-GGA) on CdIn4SnSe8 after structural relaxation.

Calculated values
Uncorrected formation energy = -0.474 eV/atom
SG = R3m (160)
M_tot = 0.00 μB/cell

Lattice parameters (Å, degrees): 8.308 8.308 8.234 59.70 59.70 60.00
Fractional coordinates of all 14 atoms:
Sn (0.002, 0.002, 0.993)
In (0.620, 0.620, 0.140)
Se (0.752, 0.752, 0.270)
In (0.002, 0.494, 0.502)
In (0.002, 0.002, 0.502)
Se (0.758, 0.758, 0.725)
Se (0.225, 0.752, 0.270)
Se (0.242, 0.242, 0.274)
Cd (0.378, 0.378, 0.866)
In (0.494, 0.002, 0.502)
Se (0.775, 0.248, 0.729)
Se (0.248, 0.775, 0.729)
Se (0.752, 0.225, 0.270)
Se (0.248, 0.248, 0.729)

---

[4]
VASP calculation (PBE-GGA) on Sr2CdInSe5 after structural relaxation.

Calculated values
Uncorrected formation energy = -1.101 eV/atom
SG = Cmc2_1 (36)
M_tot = 0.00 μB/cell

Lattice parameters (Å, degrees): 4.234 9.745 12.798 90.00 90.00 102.55
Fractional coordinates of all 18 atoms:
Se (0.377, 0.754, 0.982)
Cd (0.239, 0.479, 0.037)
Se (0.507, 0.014, 0.767)
Se (0.290, 0.580, 0.398)
Sr (0.876, 0.753, 0.801)
Se (0.623, 0.246, 0.482)
Sr (0.901, 0.802, 0.149)
Cd (0.761, 0.521, 0.537)
Sr (0.124, 0.247, 0.301)
Se (0.940, 0.880, 0.562)
Se (0.266, 0.531, 0.685)
Se (0.734, 0.469, 0.185)
Se (0.493, 0.986, 0.267)
In (0.428, 0.856, 0.442)
Sr (0.099, 0.198, 0.649)
In (0.572, 0.144, 0.942)
Se (0.710, 0.420, 0.898)
Se (0.060, 0.120, 0.062)